Record 1
DFT (PBE-GGA) results for CsSb5Pt3 after structural relaxation.

Structure (CIF):
```
data_CsSb5Pt3
_chemical_formula_sum 'Cs1 Sb5 Pt3'
_space_group_name_H-M_alt 'P 6/m m m'
_space_group_IT_number 191
_space_group_name_Hall '-P 6 2'
_cell_length_a 5.7864
_cell_length_b 5.7864
_cell_length_c 9.0411
_cell_angle_alpha 90.00
_cell_angle_beta 90.00
_cell_angle_gamma 120.00
loop_
_atom_site_label
_atom_site_type_symbol
_atom_site_fract_x
_atom_site_fract_y
_atom_site_fract_z
Cs1 Cs 0.0000 0.0000 0.0000
Sb1 Sb 0.0000 0.0000 0.5000
Sb2 Sb 0.3333 0.6667 0.2536
Pt1 Pt 0.0000 0.5000 0.5000
```



Record 2
DFT (PBE-GGA) results for Cs3Sb6Pt after structural relaxation.

Structure (CIF):
```
data_Cs3Sb6Pt
_chemical_formula_sum 'Cs6 Sb12 Pt2'
_space_group_name_H-M_alt 'I 4/m m m'
_space_group_IT_number 139
_space_group_name_Hall '-I 4 2'
_cell_length_a 8.098
_cell_length_b 8.098
_cell_length_c 15.295
_cell_angle_alpha 90.00
_cell_angle_beta 90.00
_cell_angle_gamma 90.00
loop_
_atom_site_label
_atom_site_type_symbol
_atom_site_fract_x
_atom_site_fract_y
_atom_site_fract_z
Cs1 Cs 0.000 0.000 0.000
Cs2 Cs 0.000 0.500 0.250
Sb1 Sb 0.000 0.000 0.327
Sb2 Sb 0.000 0.329 0.500
Pt1 Pt 0.000 0.000 0.500
```



Record 3
DFT (PBE-GGA) results for Cs2Sb2Pt after structural relaxation.

Structure (CIF):
```
data_Cs2Sb2Pt
_chemical_formula_sum 'Cs8 Sb8 Pt4'
_space_group_name_H-M_alt 'C m c m'
_space_group_IT_number 63
_space_group_name_Hall '-C 2c 2'
_cell_length_a 7.655
_cell_length_b 15.130
_cell_length_c 6.978
_cell_angle_alpha 90.00
_cell_angle_beta 90.00
_cell_angle_gamma 90.00
loop_
_atom_site_label
_atom_site_type_symbol
_atom_site_fract_x
_atom_site_fract_y
_atom_site_fract_z
Cs1 Cs 0.000 0.099 0.250
Cs2 Cs 0.000 0.301 0.750
Sb1 Sb 0.185 0.402 0.250
Pt1 Pt 0.000 0.500 0.000
```



Record 4
DFT (PBE-GGA) results for Cs2Sb2Pt3 after structural relaxation.

Structure (CIF):
```
data_Cs2Sb2Pt3
_chemical_formula_sum 'Cs6 Sb6 Pt9'
_space_group_name_H-M_alt 'R 3 m'
_space_group_IT_number 160
_space_group_name_Hall 'R 3 -2"'
_cell_length_a 4.5672
_cell_length_b 4.5672
_cell_length_c 36.9556
_cell_angle_alpha 90.00
_cell_angle_beta 90.00
_cell_angle_gamma 120.00
loop_
_atom_site_label
_atom_site_type_symbol
_atom_site_fract_x
_atom_site_fract_y
_atom_site_fract_z
Cs1 Cs 0.0000 0.0000 0.0000
Cs2 Cs 0.0000 0.0000 0.4968
Sb1 Sb 0.0000 0.0000 0.2486
Sb2 Sb 0.0000 0.0000 0.7438
Pt1 Pt 0.0000 0.0000 0.4056
Pt2 Pt 0.0000 0.0000 0.5933
Pt3 Pt 0.0000 0.0000 0.9025
```



Uncorrected energy, respectively: -4.645 -3.320 -3.699 -4.317 eV/atom.